# InMo (PBE, relaxed)
data_InMo
_chemical_formula_sum 'In8 Mo8'
_cell_length_a 8.531
_cell_length_b 8.531
_cell_length_c 8.531
_cell_angle_alpha 90.00
_cell_angle_beta 90.00
_cell_angle_gamma 90.00
_space_group_name_H-M_alt 'P 1'
_space_group_IT_number 1
_space_group_name_Hall 'P 1'
loop_
_atom_site_label
_atom_site_type_symbol
_atom_site_fract_x
_atom_site_fract_y
_atom_site_fract_z
In1 In 0.210 0.210 0.790
In2 In 0.210 0.790 0.210
In3 In 0.290 0.290 0.290
In4 In 0.290 0.710 0.710
In5 In 0.710 0.290 0.710
In6 In 0.710 0.710 0.290
In7 In 0.790 0.210 0.210
In8 In 0.790 0.790 0.790
Mo1 Mo 0.103 0.103 0.103
Mo2 Mo 0.103 0.897 0.897
Mo3 Mo 0.397 0.397 0.603
Mo4 Mo 0.397 0.603 0.397
Mo5 Mo 0.603 0.397 0.397
Mo6 Mo 0.603 0.603 0.603
Mo7 Mo 0.897 0.103 0.897
Mo8 Mo 0.897 0.897 0.103
# SG: I-43m (217)
# ΔE to the lowest computed polymorph: 1.001 eV per atom
# Magnetization: 0.0 μB per formula unit
# Crystal system: cubic
# Energy relative to the elements: 1.22 eV/atom
# Uncorrected energy: -5.57 eV/atom

***

# Pr4MgCo (PBE, relaxed)
data_Pr4MgCo
_chemical_formula_sum 'Pr16 Mg4 Co4'
_cell_length_a 9.962
_cell_length_b 9.962
_cell_length_c 9.962
_cell_angle_alpha 60.00
_cell_angle_beta 60.00
_cell_angle_gamma 60.00
_space_group_name_H-M_alt 'P 1'
_space_group_IT_number 1
_space_group_name_Hall 'P 1'
loop_
_atom_site_label
_atom_site_type_symbol
_atom_site_fract_x
_atom_site_fract_y
_atom_site_fract_z
Pr1 Pr 0.035 0.655 0.655
Pr2 Pr 0.061 0.061 0.439
Pr3 Pr 0.061 0.439 0.061
Pr4 Pr 0.061 0.439 0.439
Pr5 Pr 0.188 0.188 0.812
Pr6 Pr 0.188 0.812 0.188
Pr7 Pr 0.188 0.812 0.812
Pr8 Pr 0.439 0.061 0.061
Pr9 Pr 0.439 0.061 0.439
Pr10 Pr 0.439 0.439 0.061
Pr11 Pr 0.655 0.035 0.655
Pr12 Pr 0.655 0.655 0.035
Pr13 Pr 0.655 0.655 0.655
Pr14 Pr 0.812 0.188 0.188
Pr15 Pr 0.812 0.188 0.812
Pr16 Pr 0.812 0.812 0.188
Mg1 Mg 0.421 0.421 0.421
Mg2 Mg 0.421 0.421 0.736
Mg3 Mg 0.421 0.736 0.421
Mg4 Mg 0.736 0.421 0.421
Co1 Co 0.423 0.859 0.859
Co2 Co 0.859 0.423 0.859
Co3 Co 0.859 0.859 0.423
Co4 Co 0.859 0.859 0.859
# SG: F-43m (216)
# ΔE to the lowest computed polymorph: 0.000 eV per atom
# Magnetization: 0.0 μB per formula unit
# Crystal system: cubic
# Energy relative to the elements: -0.09 eV/atom
# Uncorrected energy: -4.72 eV/atom

***

# KNpAg2Se4 (PBE, relaxed)
data_KNpAg2Se4
_chemical_formula_sum 'K2 Np2 Ag4 Se8'
_cell_length_a 7.019
_cell_length_b 7.587
_cell_length_c 8.311
_cell_angle_alpha 90.00
_cell_angle_beta 90.00
_cell_angle_gamma 90.00
_space_group_name_H-M_alt 'P 1'
_space_group_IT_number 1
_space_group_name_Hall 'P 1'
loop_
_atom_site_label
_atom_site_type_symbol
_atom_site_fract_x
_atom_site_fract_y
_atom_site_fract_z
K1 K 0.000 0.000 0.000
K2 K 0.500 0.500 0.500
Np1 Np 0.000 0.000 0.500
Np2 Np 0.500 0.500 0.000
Ag1 Ag 0.000 0.500 0.179
Ag2 Ag 0.000 0.500 0.821
Ag3 Ag 0.500 0.000 0.321
Ag4 Ag 0.500 0.000 0.679
Se1 Se 0.217 0.219 0.316
Se2 Se 0.217 0.781 0.684
Se3 Se 0.283 0.281 0.816
Se4 Se 0.283 0.719 0.184
Se5 Se 0.717 0.281 0.184
Se6 Se 0.717 0.719 0.816
Se7 Se 0.783 0.219 0.684
Se8 Se 0.783 0.781 0.316
# Formation energy without anion corrections: -0.5225 eV/atom
# SG: I222 (23)
# Magnetization: 2.5 μB per formula unit
# Crystal system: orthorhombic
# Uncorrected energy: -4.73 eV/atom

***

# CsK2NaHg (PBE, relaxed)
data_CsK2NaHg
_chemical_formula_sum 'Cs1 K2 Na1 Hg1'
_cell_length_a 6.849
_cell_length_b 6.849
_cell_length_c 6.393
_cell_angle_alpha 90.00
_cell_angle_beta 90.00
_cell_angle_gamma 90.00
_space_group_name_H-M_alt 'P 1'
_space_group_IT_number 1
_space_group_name_Hall 'P 1'
loop_
_atom_site_label
_atom_site_type_symbol
_atom_site_fract_x
_atom_site_fract_y
_atom_site_fract_z
Cs1 Cs 0.000 0.000 0.000
K1 K 0.000 0.500 0.500
K2 K 0.500 0.000 0.500
Na1 Na 0.500 0.500 0.000
Hg1 Hg 0.500 0.500 0.500
# SG: P4/mmm (123)
# ΔE to the lowest computed polymorph: 0.000 eV per atom
# Magnetization: 0.0 μB per formula unit
# Crystal system: tetragonal
# Energy relative to the elements: -0.07 eV/atom
# Uncorrected energy: -1.00 eV/atom

***

# SrCdPt (PBE, relaxed)
data_SrCdPt
_chemical_formula_sum 'Sr2 Cd2 Pt2'
_cell_length_a 3.694
_cell_length_b 3.694
_cell_length_c 10.873
_cell_angle_alpha 90.00
_cell_angle_beta 90.00
_cell_angle_gamma 90.00
_space_group_name_H-M_alt 'P 1'
_space_group_IT_number 1
_space_group_name_Hall 'P 1'
loop_
_atom_site_label
_atom_site_type_symbol
_atom_site_fract_x
_atom_site_fract_y
_atom_site_fract_z
Sr1 Sr 0.000 0.000 0.000
Sr2 Sr 0.500 0.500 0.500
Cd1 Cd 0.000 0.000 0.289
Cd2 Cd 0.500 0.500 0.789
Pt1 Pt 0.000 0.000 0.677
Pt2 Pt 0.500 0.500 0.177
# SG: I4mm (107)
# Magnetization: 0.0 μB per formula unit
# Crystal system: tetragonal
# Energy relative to the elements: -0.47 eV/atom
# Uncorrected energy: -3.35 eV/atom

***

# Rb3ZrI (PBE, relaxed)
data_Rb3ZrI
_chemical_formula_sum 'Rb3 Zr1 I1'
_cell_length_a 6.946
_cell_length_b 6.946
_cell_length_c 6.946
_cell_angle_alpha 90.00
_cell_angle_beta 90.00
_cell_angle_gamma 90.00
_space_group_name_H-M_alt 'P 1'
_space_group_IT_number 1
_space_group_name_Hall 'P 1'
loop_
_atom_site_label
_atom_site_type_symbol
_atom_site_fract_x
_atom_site_fract_y
_atom_site_fract_z
Rb1 Rb 0.000 0.000 0.500
Rb2 Rb 0.000 0.500 0.000
Rb3 Rb 0.500 0.000 0.000
Zr1 Zr 0.500 0.500 0.500
I1 I 0.000 0.000 0.000
# Formation energy without anion corrections: 0.3879 eV/atom
# SG: Pm-3m (221)
# ΔE to the lowest computed polymorph: 0.000 eV per atom
# Magnetization: 3.9 μB per formula unit
# Crystal system: cubic
# Uncorrected energy: -2.21 eV/atom

***

# La2TbNpAs4 (PBE, relaxed)
data_La2TbNpAs4
_chemical_formula_sum 'La2 Tb1 Np1 As4'
_cell_length_a 7.347
_cell_length_b 4.241
_cell_length_c 7.366
_cell_angle_alpha 90.00
_cell_angle_beta 109.30
_cell_angle_gamma 90.00
_space_group_name_H-M_alt 'P 1'
_space_group_IT_number 1
_space_group_name_Hall 'P 1'
loop_
_atom_site_label
_atom_site_type_symbol
_atom_site_fract_x
_atom_site_fract_y
_atom_site_fract_z
La1 La 0.000 0.000 0.000
La2 La 0.500 0.500 0.000
Tb1 Tb 0.000 0.500 0.500
Np1 Np 0.500 0.000 0.500
As1 As 0.248 0.000 0.735
As2 As 0.257 0.500 0.267
As3 As 0.743 0.500 0.733
As4 As 0.752 0.000 0.265
# SG: P2/m (10)
# Magnetization: 3.8 μB per formula unit
# Crystal system: monoclinic
# Energy relative to the elements: -1.32 eV/atom
# Uncorrected energy: -7.08 eV/atom

***

# Cd3Ni (PBE, relaxed)
data_Cd3Ni
_chemical_formula_sum 'Cd3 Ni1'
_cell_length_a 4.184
_cell_length_b 4.184
_cell_length_c 4.184
_cell_angle_alpha 90.00
_cell_angle_beta 90.00
_cell_angle_gamma 90.00
_space_group_name_H-M_alt 'P 1'
_space_group_IT_number 1
_space_group_name_Hall 'P 1'
loop_
_atom_site_label
_atom_site_type_symbol
_atom_site_fract_x
_atom_site_fract_y
_atom_site_fract_z
Cd1 Cd 0.000 0.000 0.500
Cd2 Cd 0.000 0.500 0.000
Cd3 Cd 0.500 0.000 0.000
Ni1 Ni 0.500 0.500 0.500
# SG: Pm-3m (221)
# Magnetization: 0.0 μB per formula unit
# Crystal system: cubic
# Energy relative to the elements: 0.08 eV/atom
# Uncorrected energy: -2.05 eV/atom

***

# CaTcSe (PBE, relaxed)
data_CaTcSe
_chemical_formula_sum 'Ca4 Tc4 Se4'
_cell_length_a 6.361
_cell_length_b 6.361
_cell_length_c 6.361
_cell_angle_alpha 90.00
_cell_angle_beta 90.00
_cell_angle_gamma 90.00
_space_group_name_H-M_alt 'P 1'
_space_group_IT_number 1
_space_group_name_Hall 'P 1'
loop_
_atom_site_label
_atom_site_type_symbol
_atom_site_fract_x
_atom_site_fract_y
_atom_site_fract_z
Ca1 Ca 0.000 0.000 0.000
Ca2 Ca 0.000 0.500 0.500
Ca3 Ca 0.500 0.000 0.500
Ca4 Ca 0.500 0.500 0.000
Tc1 Tc 0.000 0.000 0.500
Tc2 Tc 0.000 0.500 0.000
Tc3 Tc 0.500 0.000 0.000
Tc4 Tc 0.500 0.500 0.500
Se1 Se 0.250 0.250 0.250
Se2 Se 0.250 0.750 0.750
Se3 Se 0.750 0.250 0.750
Se4 Se 0.750 0.750 0.250
# Formation energy without anion corrections: 0.0275 eV/atom
# SG: F-43m (216)
# ΔE to the lowest computed polymorph: 0.764 eV per atom
# Magnetization: 1.7 μB per formula unit
# Crystal system: cubic
# Uncorrected energy: -5.26 eV/atom

***

# ZnW2Se (PBE, relaxed)
data_ZnW2Se
_chemical_formula_sum 'Zn2 W4 Se2'
_cell_length_a 5.430
_cell_length_b 8.183
_cell_length_c 2.906
_cell_angle_alpha 90.00
_cell_angle_beta 90.00
_cell_angle_gamma 90.00
_space_group_name_H-M_alt 'P 1'
_space_group_IT_number 1
_space_group_name_Hall 'P 1'
loop_
_atom_site_label
_atom_site_type_symbol
_atom_site_fract_x
_atom_site_fract_y
_atom_site_fract_z
Zn1 Zn 0.000 0.000 0.000
Zn2 Zn 0.500 0.500 0.000
W1 W 0.250 0.250 0.500
W2 W 0.250 0.750 0.500
W3 W 0.750 0.250 0.500
W4 W 0.750 0.750 0.500
Se1 Se 0.000 0.500 0.000
Se2 Se 0.500 0.000 0.000
# Formation energy without anion corrections: 0.7880 eV/atom
# SG: Cmmm (65)
# ΔE to the lowest computed polymorph: 0.493 eV per atom
# Magnetization: 0.0 μB per formula unit
# Crystal system: orthorhombic
# Uncorrected energy: -6.88 eV/atom

***

# Ce7Ge2Ru2 (PBE, relaxed)
data_Ce7Ge2Ru2
_chemical_formula_sum 'Ce7 Ge2 Ru2'
_cell_length_a 6.698
_cell_length_b 6.698
_cell_length_c 6.555
_cell_angle_alpha 90.00
_cell_angle_beta 90.00
_cell_angle_gamma 106.84
_space_group_name_H-M_alt 'P 1'
_space_group_IT_number 1
_space_group_name_Hall 'P 1'
loop_
_atom_site_label
_atom_site_type_symbol
_atom_site_fract_x
_atom_site_fract_y
_atom_site_fract_z
Ce1 Ce 0.000 0.000 0.000
Ce2 Ce 0.000 0.500 0.279
Ce3 Ce 0.000 0.500 0.721
Ce4 Ce 0.500 0.000 0.279
Ce5 Ce 0.500 0.000 0.721
Ce6 Ce 0.500 0.500 0.287
Ce7 Ce 0.500 0.500 0.713
Ge1 Ge 0.158 0.158 0.500
Ge2 Ge 0.842 0.842 0.500
Ru1 Ru 0.289 0.711 0.000
Ru2 Ru 0.711 0.289 0.000
# SG: Cmmm (65)
# Magnetization: 3.1 μB per formula unit
# Crystal system: orthorhombic
# Energy relative to the elements: -0.30 eV/atom
# Uncorrected energy: -6.61 eV/atom

***

# Nd2SmHo (PBE, relaxed)
data_Nd2SmHo
_chemical_formula_sum 'Nd2 Sm1 Ho1'
_cell_length_a 4.244
_cell_length_b 4.244
_cell_length_c 7.527
_cell_angle_alpha 90.00
_cell_angle_beta 90.00
_cell_angle_gamma 90.00
_space_group_name_H-M_alt 'P 1'
_space_group_IT_number 1
_space_group_name_Hall 'P 1'
loop_
_atom_site_label
_atom_site_type_symbol
_atom_site_fract_x
_atom_site_fract_y
_atom_site_fract_z
Nd1 Nd 0.000 0.000 0.243
Nd2 Nd 0.000 0.000 0.757
Sm1 Sm 0.500 0.500 0.500
Ho1 Ho 0.500 0.500 0.000
# SG: P4/mmm (123)
# ΔE to the lowest computed polymorph: 0.094 eV per atom
# Magnetization: 0.0 μB per formula unit
# Crystal system: tetragonal
# Energy relative to the elements: 0.11 eV/atom
# Uncorrected energy: -4.60 eV/atom